Entry 1:
The following is a DFT calculation (PBE-GGA) of a geometry-optimized Tl2NiP structure.

a b c (Å): 3.795 3.795 8.276
angles (deg): 76.75 76.75 60.01
Sites, in units of the cell vectors:
P 0.208 0.208 0.375
Tl 0.780 0.780 0.659
Tl 0.970 0.970 0.091
Ni 0.542 0.542 0.375

Crystal system: trigonal
Space group: R3m, No. 160
Uncorrected energy: -4.13 eV per atom
DOS(E_F): 0.521 states/eV per atom
Energy of formation: -0.58 eV/f.u.
Energy above the most stable polymorph in this dataset: 0 meV/atom
Calculated density: 8.314 g/cm3
M_tot: 0.0001 μB/atom


Entry 2:
The following is a DFT calculation (PBE-GGA) of a geometry-optimized Tl2NiP structure.

a b c (Å): 3.187 3.187 8.666
angles (deg): 90.00 90.00 89.86
Sites, in units of the cell vectors:
Tl 0.000 0.000 0.065
Tl 0.500 0.500 0.688
P 0.500 0.500 0.337
Ni 0.000 0.000 0.410

Crystal system: orthorhombic
Space group: Cmm2, No. 35
Uncorrected energy: -3.96 eV per atom
DOS(E_F): 0.530 states/eV per atom
Energy of formation: 0.09 eV/f.u.
Energy above the most stable polymorph in this dataset: 169 meV/atom
Calculated density: 9.401 g/cm3
M_tot: 0.0000 μB/atom


Entry 3:
The following is a DFT calculation (PBE-GGA) of a geometry-optimized TlNiP4 structure.

a b c (Å): 5.559 5.559 5.559
angles (deg): 60.00 60.00 60.00
Sites, in units of the cell vectors:
P 0.649 0.054 0.649
P 0.649 0.649 0.649
P 0.649 0.649 0.054
P 0.054 0.649 0.649
Ni 0.000 0.000 0.000
Tl 0.250 0.250 0.250

Crystal system: cubic
Space group: F-43m, No. 216
Uncorrected energy: -4.31 eV per atom
DOS(E_F): 0.915 states/eV per atom
Energy of formation: 3.90 eV/f.u.
Calculated density: 5.291 g/cm3
M_tot: 0.0003 μB/atom


Entry 4:
The following is a DFT calculation (PBE-GGA) of a geometry-optimized Tl3NiP structure.

a b c (Å): 5.327 5.327 5.327
angles (deg): 90.00 90.00 90.00
Site moments in Bohr magnetons follow the coordinates.
Sites, in units of the cell vectors:
Tl 0.500 0.000 0.000  0.00
Tl 0.000 0.000 0.500  -0.01
Tl 0.000 0.500 0.000  -0.01
P 0.000 0.000 0.000  0.00
Ni 0.500 0.500 0.500  0.60

Crystal system: cubic
Space group: Pm-3m, No. 221
Uncorrected energy: -2.80 eV per atom
DOS(E_F): 1.584 states/eV per atom
Energy of formation: 4.30 eV/f.u.
Energy above the most stable polymorph in this dataset: 436 meV/atom
Calculated density: 7.720 g/cm3
M_tot: 0.1040 μB/atom


Entry 5:
The following is a DFT calculation (PBE-GGA) of a geometry-optimized Tl2NiP structure.

a b c (Å): 5.283 5.283 5.283
angles (deg): 130.96 130.96 71.88
Sites, in units of the cell vectors:
Tl 0.000 0.000 0.000
Tl 0.250 0.750 0.500
P 0.750 0.250 0.500
Ni 0.500 0.500 0.000

Crystal system: tetragonal
Space group: I-4m2, No. 119
Uncorrected energy: -3.39 eV per atom
DOS(E_F): 0.697 states/eV per atom
Energy of formation: 2.36 eV/f.u.
Energy above the most stable polymorph in this dataset: 736 meV/atom
Calculated density: 10.061 g/cm3
M_tot: 0.0000 μB/atom


Entry 6:
The following is a DFT calculation (PBE-GGA) of a geometry-optimized Tl2NiP structure.

a b c (Å): 6.999 6.999 6.999
angles (deg): 31.80 31.80 31.80
Sites, in units of the cell vectors:
Ni 0.500 0.500 0.500
Tl 0.246 0.246 0.246
Tl 0.754 0.754 0.754
P 0.000 0.000 0.000

Crystal system: trigonal
Space group: R-3m, No. 166
Uncorrected energy: -3.53 eV per atom
DOS(E_F): 0.521 states/eV per atom
Energy of formation: 1.82 eV/f.u.
Energy above the most stable polymorph in this dataset: 599 meV/atom
Calculated density: 9.787 g/cm3
M_tot: 0.0000 μB/atom